Here is an optimized crystal structure of AlCoTe2 from Alexandria via LeMat-Bulk. Energies are from PBE.

It has space group R-3m (No. 166, hexagonal axes), with a = 3.9158 Å, b = 3.9158 Å, c = 19.2786 Å, α = 90.00°, β = 90.00° and γ = 120.00°. Symmetry generates all atoms from Al at (0.0000, 0.0000, 0.0000), Co at (0.0000, 0.0000, 0.5000) and Te at (0.0000, 0.0000, 0.2379).

The raw formation energy comes out at -1.6 kJ/mol of atoms. Its crystal system is trigonal.